Entry 1:
HoNbCo10 after structural relaxation, computed with GGA-PBE.

Lattice parameters (Å, degrees): 3.9750 4.7643 8.2751 90.00 90.00 90.00
With the nearest neighbours (Å) after each atom.
Element x y z (fractional)
Ho (0.0000, 0.0000, 0.0000)  10 Co 2.81-3.10
Nb (0.0000, 0.5000, 0.5000)  6 Co 2.65-2.71
Co (0.0000, 0.0000, 0.3447)  7 Co 2.37-2.57
Co (0.0000, 0.0000, 0.6553)  7 Co 2.37-2.57
Co (0.0000, 0.5000, 0.1802)  6 Co 2.39-2.48, 1 Nb 2.65
Co (0.0000, 0.5000, 0.8198)  6 Co 2.39-2.48, 1 Nb 2.65
Co (0.5000, 0.0000, 0.5000)  8 Co 2.34-2.37
Co (0.5000, 0.2554, 0.2586)  8 Co 2.33-2.44
Co (0.5000, 0.2554, 0.7414)  8 Co 2.33-2.44
Co (0.5000, 0.5000, 0.0000)  8 Co 2.44-2.48
Co (0.5000, 0.7446, 0.2586)  8 Co 2.33-2.44
Co (0.5000, 0.7446, 0.7414)  8 Co 2.33-2.44

Calculated values
Total DFT energy (no corrections): -7.162 eV/atom
ΔH_f (0 K): -20 meV/atom
Total magnetic moment: 12.93 Bohr magnetons per cell
Fermi-level density of states: 17.1 states/eV per cell



Entry 2:
Ac2SnHPd6 after structural relaxation, computed with GGA-PBE.

Lattice parameters (Å, degrees): 5.9827 5.9827 7.2480 114.71 114.71 60.04
With the nearest neighbours (Å) after each atom.
Element x y z (fractional)
Ac (0.2332, 0.2332, 0.2027)  6 Pd 3.07-3.09
Ac (0.7668, 0.7668, 0.7973)  6 Pd 3.07-3.09
Sn (0.5000, 0.5000, 0.0000)  6 Pd 2.69
H (0.0000, 0.0000, 0.5000)  6 Pd 2.03-2.04
Pd (0.2231, 0.2231, 0.6767)  1 H 2.03
Pd (0.2247, 0.7354, 0.6810)  1 H 2.04
Pd (0.2646, 0.7753, 0.3190)  1 H 2.04
Pd (0.7354, 0.2247, 0.6810)  1 H 2.04
Pd (0.7753, 0.2646, 0.3190)  1 H 2.04
Pd (0.7769, 0.7769, 0.3233)  1 H 2.03

Calculated values
Total DFT energy (no corrections): -5.348 eV/atom
Total magnetic moment: 0.00 Bohr magnetons per cell
Fermi-level density of states: 6.6 states/eV per cell



Entry 3:
RbTlI2 after structural relaxation, computed with GGA-PBE.

Lattice parameters (Å, degrees): 9.2817 9.2817 9.2817 31.53 31.53 31.53
With the nearest neighbours (Å) after each atom.
Element x y z (fractional)
Rb (0.0000, 0.0000, 0.0000)  6 I 3.71-3.73
Tl (0.8320, 0.8320, 0.8320)  6 I 3.58-3.60
I (0.2451, 0.2451, 0.2451)  3 Tl 3.60, 3 Rb 3.73
I (0.4200, 0.4200, 0.4200)  3 Tl 3.58, 3 Rb 3.71

Calculated values
Total DFT energy (no corrections): -2.668 eV/atom
Energy relative to the elements, uncorrected: -1.060 eV per atom
Total magnetic moment: 0.00 Bohr magnetons per cell
Fermi-level density of states: 0.0 states/eV per cell
Energy above the lowest structure with this stoichiometry: 0.016 eV/atom



Entry 4:
TiBe8Nb3 after structural relaxation, computed with GGA-PBE.

Lattice parameters (Å, degrees): 4.6334 4.6334 7.4013 90.00 90.00 120.00
With the nearest neighbours (Å) after each atom.
Element x y z (fractional)
Ti (0.0000, 0.0000, 0.0000)  12 Be 2.68-2.72, 4 Nb 2.69-2.84
Be (0.1616, 0.3232, 0.6834)  6 Be 2.25-2.39
Be (0.1616, 0.8384, 0.6834)  6 Be 2.25-2.39
Be (0.3333, 0.6667, 0.4331)  6 Be 2.29-2.31
Be (0.3333, 0.6667, 0.9342)  6 Be 2.31
Be (0.5046, 0.0093, 0.1851)  6 Be 2.25-2.38
Be (0.5046, 0.4954, 0.1851)  6 Be 2.25-2.38
Be (0.6768, 0.8384, 0.6834)  6 Be 2.25-2.39
Be (0.9907, 0.4954, 0.1851)  6 Be 2.25-2.38
Nb (0.0000, 0.0000, 0.3632)  12 Be 2.67-2.72, 1 Ti 2.69, 3 Nb 2.87
Nb (0.6667, 0.3333, 0.5022)  12 Be 2.68-2.72, 4 Nb 2.72-2.87
Nb (0.6667, 0.3333, 0.8700)  12 Be 2.67-2.72, 1 Nb 2.72, 3 Ti 2.84

Calculated values
Total DFT energy (no corrections): -5.857 eV/atom
ΔH_f (0 K): -198 meV/atom
Total magnetic moment: 1.05 Bohr magnetons per cell
Fermi-level density of states: 8.2 states/eV per cell



Entry 5:
Sc6PSe3S2 after structural relaxation, computed with GGA-PBE.

Lattice parameters (Å, degrees): 6.5391 6.5391 6.6433 99.42 99.42 120.03
With the nearest neighbours (Å) after each atom.
Element x y z (fractional)
Sc (0.0740, 0.4006, 0.2226)  1 P 2.55, 2 S 2.61, 3 Se 2.77-2.81
Sc (0.2523, 0.2523, 0.7776)  1 P 2.55, 2 S 2.61, 3 Se 2.78-2.82
Sc (0.4006, 0.0740, 0.2226)  1 P 2.55, 2 S 2.61, 3 Se 2.77-2.81
Sc (0.5994, 0.9260, 0.7774)  1 P 2.55, 2 S 2.61, 3 Se 2.77-2.81
Sc (0.7477, 0.7477, 0.2224)  1 P 2.55, 2 S 2.61, 3 Se 2.78-2.82
Sc (0.9260, 0.5994, 0.7774)  1 P 2.55, 2 S 2.61, 3 Se 2.77-2.81
P (0.0000, 0.0000, 0.0000)  6 Sc 2.55
Se (0.1680, 0.8320, 0.5000)  6 Sc 2.77-2.81
Se (0.5000, 0.5000, 0.5000)  6 Sc 2.77-2.82
Se (0.8320, 0.1680, 0.5000)  6 Sc 2.77-2.81
S (0.3335, 0.6665, 0.0000)  6 Sc 2.61
S (0.6665, 0.3335, 0.0000)  6 Sc 2.61

Calculated values
Total DFT energy (no corrections): -6.900 eV/atom
Energy relative to the elements, uncorrected: -1.724 eV per atom
Total magnetic moment: 0.00 Bohr magnetons per cell
Fermi-level density of states: 5.8 states/eV per cell



Entry 6:
PrEuHo2 after structural relaxation, computed with GGA-PBE.

Lattice parameters (Å, degrees): 5.7903 5.7903 5.7903 60.00 60.00 60.00
With the nearest neighbours (Å) after each atom.
Element x y z (fractional)
Pr (0.0000, 0.0000, 0.0000)  8 Ho 3.55
Eu (0.5000, 0.5000, 0.5000)  8 Ho 3.55
Ho (0.2500, 0.2500, 0.2500)  4 Pr 3.55, 4 Eu 3.55
Ho (0.7500, 0.7500, 0.7500)  4 Pr 3.55, 4 Eu 3.55

Calculated values
Total DFT energy (no corrections): -5.906 eV/atom
ΔH_f (0 K): 146 meV/atom
Total magnetic moment: 7.06 Bohr magnetons per cell
Fermi-level density of states: 6.7 states/eV per cell
Energy above the lowest structure with this stoichiometry: 0.078 eV/atom



Entry 7:
KAl2Co after structural relaxation, computed with GGA-PBE.

Lattice parameters (Å, degrees): 4.6980 4.6980 4.6980 60.00 60.00 60.00
With the nearest neighbours (Å) after each atom.
Element x y z (fractional)
K (0.0000, 0.0000, 0.0000)  8 Al 2.88
Al (0.2500, 0.2500, 0.2500)  4 Co 2.88, 4 K 2.88
Al (0.7500, 0.7500, 0.7500)  4 K 2.88, 4 Co 2.88
Co (0.5000, 0.5000, 0.5000)  8 Al 2.88

Calculated values
Total DFT energy (no corrections): -3.233 eV/atom
ΔH_f (0 K): 689 meV/atom
Total magnetic moment: 0.87 Bohr magnetons per cell
Fermi-level density of states: 5.3 states/eV per cell
Energy above the lowest structure with this stoichiometry: 0.664 eV/atom



Entry 8:
Y2Cd3Ni2 after structural relaxation, computed with GGA-PBE.

Lattice parameters (Å, degrees): 10.4651 10.4651 3.6904 90.00 90.00 158.47
With the nearest neighbours (Å) after each atom.
Element x y z (fractional)
Y (0.1725, 0.8275, 0.0000)  6 Ni 2.82-2.97
Y (0.8275, 0.1725, 0.0000)  6 Ni 2.82-2.97
Cd (0.0000, 0.0000, 0.0000)  8 Cd 3.13
Cd (0.4219, 0.5781, 0.5000)  1 Ni 2.80, 4 Cd 3.13
Cd (0.5781, 0.4219, 0.5000)  1 Ni 2.80, 4 Cd 3.13
Ni (0.2858, 0.7142, 0.5000)  2 Ni 2.45
Ni (0.7142, 0.2858, 0.5000)  2 Ni 2.45

Calculated values
Total DFT energy (no corrections): -4.248 eV/atom
ΔH_f (0 K): -357 meV/atom
Total magnetic moment: 0.00 Bohr magnetons per cell
Fermi-level density of states: 3.5 states/eV per cell
Energy above the lowest structure with this stoichiometry: 0.000 eV/atom



Entry 9:
Dy8Y4Tm3 after structural relaxation, computed with GGA-PBE.

Lattice parameters (Å, degrees): 9.2182 9.2182 6.7286 111.29 111.29 87.48
With the nearest neighbours (Å) after each atom.
Element x y z (fractional)
Dy (0.1410, 0.8590, 0.0000)  7 Dy 3.54-3.62, 4 Tm 3.61-3.81, 2 Y 3.62
Dy (0.2275, 0.2275, 0.4589)  1 Tm 3.18, 3 Y 3.20-3.50, 4 Dy 3.21-3.54
Dy (0.2316, 0.2316, 0.9858)  3 Tm 3.17-3.19, 2 Dy 3.21-3.52, 2 Y 3.51-3.53
Dy (0.2460, 0.7540, 0.5000)  3 Tm 3.14-3.34, 3 Y 3.24-3.33
Dy (0.7540, 0.2460, 0.5000)  3 Tm 3.14-3.34, 3 Y 3.24-3.33
Dy (0.7684, 0.7684, 0.0142)  3 Tm 3.17-3.19, 2 Dy 3.21-3.52, 2 Y 3.51-3.53
Dy (0.7725, 0.7725, 0.5411)  1 Tm 3.18, 3 Y 3.20-3.50, 4 Dy 3.21-3.54
Dy (0.8590, 0.1410, 0.0000)  7 Dy 3.54-3.62, 4 Tm 3.61-3.81, 2 Y 3.62
Y (0.0000, 0.5000, 0.5000)  4 Dy 3.20-3.33, 2 Tm 3.36
Y (0.5000, 0.0000, 0.5000)  4 Dy 3.20-3.33, 2 Tm 3.36
Y (0.5000, 0.5000, 0.0000)  2 Y 3.36, 4 Dy 3.53-3.63
Y (0.5000, 0.5000, 0.5000)  6 Dy 3.24-3.51, 2 Y 3.36
Tm (0.0000, 0.0000, 0.5000)  6 Dy 3.14-3.18
Tm (0.0000, 0.5000, 0.0000)  4 Dy 3.19-3.34, 2 Y 3.36
Tm (0.5000, 0.0000, 0.0000)  4 Dy 3.19-3.34, 2 Y 3.36

Calculated values
Total DFT energy (no corrections): -4.673 eV/atom
ΔH_f (0 K): 400 meV/atom
Total magnetic moment: 0.60 Bohr magnetons per cell
Fermi-level density of states: 29.4 states/eV per cell
Energy above the lowest structure with this stoichiometry: 0.264 eV/atom



Entry 10:
BeHgPb3 after structural relaxation, computed with GGA-PBE.

Lattice parameters (Å, degrees): 5.7287 5.7287 5.7287 90.00 90.00 90.00
With the nearest neighbours (Å) after each atom.
Element x y z (fractional)
Be (0.0000, 0.0000, 0.0000)  12 Pb 4.05
Hg (0.5000, 0.5000, 0.5000)  6 Pb 2.86
Pb (0.0000, 0.5000, 0.5000)  2 Hg 2.86
Pb (0.5000, 0.0000, 0.5000)  2 Hg 2.86
Pb (0.5000, 0.5000, 0.0000)  2 Hg 2.86

Calculated values
Total DFT energy (no corrections): -2.020 eV/atom
ΔH_f (0 K): 1010 meV/atom
Total magnetic moment: 0.00 Bohr magnetons per cell
Fermi-level density of states: 0.5 states/eV per cell
Energy above the lowest structure with this stoichiometry: 0.683 eV/atom



Entry 11:
CdIn2HgTe after structural relaxation, computed with GGA-PBE.

Lattice parameters (Å, degrees): 5.7087 5.7087 5.7219 90.00 90.00 90.00
With the nearest neighbours (Å) after each atom.
Element x y z (fractional)
Cd (0.0000, 0.0000, 0.0000)  4 Te 4.04, 8 In 4.04
In (0.0000, 0.5000, 0.5000)  2 Hg 2.85
In (0.5000, 0.0000, 0.5000)  2 Hg 2.85
Hg (0.5000, 0.5000, 0.5000)  4 In 2.85, 2 Te 2.86
Te (0.5000, 0.5000, 0.0000)  2 Hg 2.86

Calculated values
Total DFT energy (no corrections): -1.690 eV/atom
Energy relative to the elements, uncorrected: 0.277 eV per atom
Total magnetic moment: 0.00 Bohr magnetons per cell
Fermi-level density of states: 1.4 states/eV per cell



Entry 12:
KNa2LiGa after structural relaxation, computed with GGA-PBE.

Lattice parameters (Å, degrees): 5.8273 5.8273 5.3340 90.00 90.00 90.00
With the nearest neighbours (Å) after each atom.
Element x y z (fractional)
K (0.0000, 0.0000, 0.0000)  8 Na 3.95, 4 Li 4.12
Na (0.0000, 0.5000, 0.5000)  2 Ga 2.91
Na (0.5000, 0.0000, 0.5000)  2 Ga 2.91
Li (0.5000, 0.5000, 0.0000)  2 Ga 2.67
Ga (0.5000, 0.5000, 0.5000)  2 Li 2.67, 4 Na 2.91

Calculated values
Total DFT energy (no corrections): -1.675 eV/atom
ΔH_f (0 K): 60 meV/atom
Total magnetic moment: 0.00 Bohr magnetons per cell
Fermi-level density of states: 3.2 states/eV per cell



What is the formula in the fifth record? Sc6PSe3S2



Look up the Fermi-level density of states of the fifth one. 5.8 states/eV per cell



Among the records above, which one has the lowest total DFT energy (no corrections)? HoNbCo10